# Nd3CoSi2Pt9

An optimized crystal structure of Nd3CoSi2Pt9 (GGA-PBE, the Alexandria database).

a = 6.394 Å, b = 6.394 Å, c = 8.718 Å
α = 90.00°, β = 90.00°, γ = 120.00°
Positions (direct):
Nd: 0.333 0.667 0.681
Nd: 0.000 0.000 0.000
Nd: 0.667 0.333 0.319
Co: 0.000 0.000 0.500
Si: 0.333 0.667 0.187
Si: 0.667 0.333 0.813
Pt: 0.857 0.143 0.718
Pt: 0.857 0.714 0.718
Pt: 0.286 0.143 0.718
Pt: 0.714 0.857 0.282
Pt: 0.143 0.286 0.282
Pt: 0.143 0.857 0.282
Pt: 0.500 0.000 0.000
Pt: 0.000 0.500 0.000
Pt: 0.500 0.500 0.000

electronic total energy	-6.415	eV/atom
ΔE_f (raw)	-0.640	eV/atom